VASP calculation (PBE) on a relaxed LiTiSe2 crystal.

a b c (Å): 3.634 3.634 7.060
angles (deg): 75.00 75.00 59.99
Each line ends with the local moment (μB).
Sites, in units of the cell vectors:
Li 0.500 0.500 0.498  0.00
Ti 0.666 0.666 0.001  0.55
Se 0.077 0.077 0.770  -0.01
Se 0.256 0.256 0.231  -0.02

ΔE_f (raw) in eV/atom: -1.18
Total DFT energy (no corrections) in hartree per atom: -0.1975
Symmetry: Cm, No. 8

VASP calculation (PBE) on a relaxed KSr2Cu crystal.

a b c (Å): 11.187 11.187 11.187
angles (deg): 159.10 157.84 30.65
Sites, in units of the cell vectors:
Cu 0.542 0.542 0.000
K 0.316 0.816 0.500
Sr 0.991 0.991 0.000
Sr 0.651 0.151 0.500

Excess energy over the best structure of this formula in the dataset in eV/atom: 0.0846
Total DFT energy (no corrections) in hartree per atom: -0.0745
Formation energy in meV per atom: 112
Symmetry: Imm2, No. 44

VASP calculation (PBE) on a relaxed CeIn8Ag4 crystal.

a b c (Å): 5.956 7.726 7.726
angles (deg): 81.46 67.33 67.33
Each line ends with the local moment (μB).
Sites, in units of the cell vectors:
Ce 0.000 0.000 0.000  0.95
In 0.000 0.344 0.656  0.00
In 0.000 0.656 0.344  0.00
In 0.344 0.656 0.656  0.00
In 0.656 0.344 0.344  0.00
In 0.500 0.788 0.212  0.00
In 0.500 0.212 0.788  0.00
In 0.288 0.212 0.212  0.00
In 0.712 0.788 0.788  0.00
Ag 0.000 0.000 0.500  0.00
Ag 0.500 0.000 0.500  0.00
Ag 0.000 0.500 0.000  0.00
Ag 0.500 0.500 0.000  0.00

Total DFT energy (no corrections) in hartree per atom: -0.1146
Formation energy in meV per atom: -99
Symmetry: I4/mmm, No. 139

VASP calculation (PBE) on a relaxed Ca2MgMn crystal.

a b c (Å): 6.343 6.343 5.565
angles (deg): 68.69 68.69 33.27
Each line ends with the local moment (μB).
Sites, in units of the cell vectors:
Ca 0.972 0.972 0.046  -0.05
Ca 0.765 0.765 0.720  -0.05
Mg 0.536 0.536 0.487  -0.02
Mn 0.228 0.228 0.247  3.87

Total DFT energy (no corrections) in hartree per atom: -0.1264
Formation energy in meV per atom: 252
Symmetry: Cm, No. 8

VASP calculation (PBE) on a relaxed Ho4HgTe3 crystal.

a b c (Å): 4.207 7.601 7.601
angles (deg): 108.00 90.00 90.00
Sites, in units of the cell vectors:
Ho 0.000 0.237 0.237
Ho 0.500 0.759 0.241
Ho 0.000 0.763 0.763
Ho 0.500 0.241 0.759
Hg 0.500 0.000 0.000
Te 0.000 0.000 0.500
Te 0.500 0.500 0.500
Te 0.000 0.500 0.000

ΔE_f (raw) in eV/atom: -1.07
Total DFT energy (no corrections) in hartree per atom: -0.1682
Symmetry: Cmmm, No. 65

VASP calculation (PBE) on a relaxed LiAcAs2Rh5 crystal.

a b c (Å): 4.216 4.216 9.168
angles (deg): 90.00 90.00 90.00
Sites, in units of the cell vectors:
Li 0.000 0.000 0.000
Ac 0.000 0.000 0.500
As 0.500 0.500 0.138
As 0.500 0.500 0.862
Rh 0.000 0.500 0.258
Rh 0.500 0.000 0.258
Rh 0.000 0.500 0.742
Rh 0.500 0.000 0.742
Rh 0.500 0.500 0.500

Total DFT energy (no corrections) in hartree per atom: -0.2289
Formation energy in meV per atom: -443
Symmetry: P4/mmm, No. 123